Record 1
Computed, not measured: an optimized crystal structure of KInSF2 at the PBE level of DFT.

Cell: 4.473 4.473 4.919 Å, 90.00 90.00 90.00°
Positions (direct):
S: 0.000 0.000 0.500
F: 0.000 0.500 0.000
F: 0.500 0.000 0.000
K: 0.500 0.500 0.500
In: 0.000 0.000 0.000

* energy: -21.0 eV for the cell shown
* formation energy from raw total energies: -1.859 eV/atom

=====

Record 2
Computed, not measured: an optimized crystal structure of K2InSbF6 at the PBE level of DFT.

Cell: 6.744 6.744 6.744 Å, 60.00 60.00 60.00°
Positions (direct):
F: 0.231 0.231 0.769
F: 0.231 0.769 0.231
F: 0.231 0.769 0.769
F: 0.769 0.769 0.231
F: 0.769 0.231 0.769
F: 0.769 0.231 0.231
Sb: 0.000 0.000 0.000
K: 0.250 0.250 0.250
K: 0.750 0.750 0.750
In: 0.500 0.500 0.500

* energy: -43.6 eV for the cell shown
* formation energy from raw total energies: -2.336 eV/atom

=====

Record 3
Computed, not measured: an optimized crystal structure of K2ScInF6 at the PBE level of DFT.

Cell: 6.555 6.549 6.358 Å, 58.78 58.80 59.91°
Positions (direct):
K: 0.080 0.081 0.757
K: 0.552 0.551 0.346
F: 0.508 0.204 0.284
F: 0.628 0.123 0.818
F: 0.430 0.628 0.813
F: 0.004 0.509 0.285
F: 0.202 0.004 0.290
F: 0.125 0.428 0.819
In: 0.816 0.816 0.552
Sc: 0.316 0.316 0.052

* energy: -53.1 eV for the cell shown
* formation energy from raw total energies: -3.064 eV/atom

=====

Record 4
Computed, not measured: an optimized crystal structure of KInSiF6 at the PBE level of DFT.

Cell: 6.121 6.121 5.117 Å, 90.06 89.94 59.46°
Positions (direct):
F: 0.101 0.569 0.692
F: 0.332 0.104 0.694
F: 0.569 0.101 0.308
F: 0.565 0.332 0.694
F: 0.331 0.565 0.306
F: 0.104 0.332 0.306
In: 0.998 0.998 0.000
K: 0.665 0.665 0.500
Si: 0.334 0.334 0.500

* energy: -45.8 eV for the cell shown
* formation energy from raw total energies: -2.811 eV/atom

=====

Record 5
Computed, not measured: an optimized crystal structure of KInSn2F8 at the PBE level of DFT.

Cell: 4.314 5.989 8.160 Å, 95.12 93.90 93.86°
Positions (direct):
Sn: 0.511 0.531 0.751
Sn: 0.489 0.469 0.249
F: 0.986 0.286 0.209
F: 0.059 0.808 0.193
F: 0.941 0.192 0.807
F: 0.487 0.737 0.552
F: 0.551 0.802 0.959
F: 0.513 0.263 0.448
F: 0.449 0.198 0.041
F: 0.014 0.714 0.791
K: 0.000 0.000 0.500
In: 0.000 0.000 0.000

* energy: -56.1 eV for the cell shown
* formation energy from raw total energies: -2.438 eV/atom

=====

Record 6
Computed, not measured: an optimized crystal structure of KSr2InF at the PBE level of DFT.

Cell: 5.463 5.463 5.224 Å, 90.00 90.00 90.00°
Positions (direct):
In: 0.500 0.500 0.500
Sr: 0.500 0.000 0.000
Sr: 0.000 0.500 0.000
K: 0.000 0.000 0.500
F: 0.000 0.000 0.000

* energy: -15.0 eV for the cell shown
* formation energy from raw total energies: -1.185 eV/atom

=====

Record 7
Computed, not measured: an optimized crystal structure of KSrInF6 at the PBE level of DFT.

Cell: 7.817 7.864 7.746 Å, 120.51 120.31 90.00°
Positions (direct):
F: 0.821 0.169 0.265
F: 0.584 0.834 0.168
F: 0.179 0.831 0.735
F: 0.416 0.166 0.832
F: 0.821 0.596 0.265
F: 0.124 0.874 0.248
F: 0.555 0.404 0.735
F: 0.445 0.596 0.265
F: 0.445 0.169 0.265
F: 0.179 0.404 0.735
F: 0.876 0.126 0.752
F: 0.555 0.831 0.735
Sr: 0.500 0.000 0.500
Sr: 0.000 0.000 0.500
In: 0.500 0.000 0.000
In: 0.500 0.500 0.000
K: 0.859 0.609 0.718
K: 0.141 0.391 0.282

* energy: -88.2 eV for the cell shown
* formation energy from raw total energies: -3.039 eV/atom

=====

Record 8
Computed, not measured: an optimized crystal structure of KSr2InF8 at the PBE level of DFT.

Cell: 4.271 5.718 8.063 Å, 90.00 90.00 95.48°
Positions (direct):
F: 0.521 0.269 0.500
F: 0.961 0.243 0.202
F: 0.039 0.757 0.798
F: 0.558 0.780 0.000
F: 0.479 0.731 0.500
F: 0.442 0.220 0.000
F: 0.961 0.243 0.798
F: 0.039 0.757 0.202
K: 0.000 0.000 0.500
Sr: 0.500 0.500 0.251
Sr: 0.500 0.500 0.749
In: 0.000 0.000 0.000

* energy: -61.3 eV for the cell shown
* formation energy from raw total energies: -3.264 eV/atom

=====

Record 9
Computed, not measured: an optimized crystal structure of K2TiInF8 at the PBE level of DFT.

Cell: 5.454 5.454 7.845 Å, 90.00 90.00 120.00°
Positions (direct):
F: 0.319 0.159 0.856
F: 0.333 0.667 0.503
F: 0.681 0.841 0.144
F: 0.841 0.681 0.856
F: 0.841 0.159 0.856
F: 0.159 0.841 0.144
F: 0.159 0.319 0.144
F: 0.667 0.333 0.497
Ti: 0.000 0.000 0.000
K: 0.333 0.667 0.823
K: 0.667 0.333 0.177
In: 0.000 0.000 0.500

* energy: -59.4 eV for the cell shown
* formation energy from raw total energies: -2.632 eV/atom

=====

Record 10
Computed, not measured: an optimized crystal structure of KTiIn2F8 at the PBE level of DFT.

Cell: 5.462 5.684 6.851 Å, 92.96 87.13 87.56°
Positions (direct):
F: 0.878 0.747 0.139
F: 0.159 0.781 0.803
F: 0.356 0.329 0.493
F: 0.644 0.671 0.507
F: 0.276 0.983 0.151
F: 0.724 0.017 0.849
F: 0.122 0.253 0.861
F: 0.841 0.219 0.197
In: 0.521 0.509 0.228
In: 0.479 0.491 0.772
K: 0.000 0.000 0.500
Ti: 0.000 0.000 0.000

* energy: -62.1 eV for the cell shown
* formation energy from raw total energies: -2.719 eV/atom

=====

Record 11
Computed, not measured: an optimized crystal structure of KTl2In3F12 at the PBE level of DFT.

Cell: 7.726 7.726 7.726 Å, 63.26 63.26 63.26°
Positions (direct):
F: 0.135 0.135 0.560
F: 0.270 0.270 0.898
F: 0.898 0.270 0.270
F: 0.730 0.730 0.102
F: 0.865 0.865 0.440
F: 0.102 0.730 0.730
F: 0.135 0.560 0.135
F: 0.270 0.898 0.270
F: 0.730 0.102 0.730
F: 0.440 0.865 0.865
F: 0.560 0.135 0.135
F: 0.865 0.440 0.865
In: 0.500 0.000 0.000
In: 0.000 0.500 0.000
In: 0.000 0.000 0.500
Tl: 0.634 0.634 0.634
Tl: 0.366 0.366 0.366
K: 0.000 0.000 0.000

* energy: -80.4 eV for the cell shown
* formation energy from raw total energies: -2.437 eV/atom

=====

Record 12
Computed, not measured: an optimized crystal structure of KTl2InF4 at the PBE level of DFT.

Cell: 7.891 7.891 7.852 Å, 119.84 119.84 89.86°
Positions (direct):
F: 0.758 0.263 0.511
F: 0.242 0.257 0.004
F: 0.763 0.258 0.011
F: 0.237 0.742 0.989
F: 0.757 0.742 0.504
F: 0.758 0.743 0.996
F: 0.243 0.258 0.496
F: 0.242 0.737 0.489
Tl: 0.500 0.000 0.000
Tl: 0.500 0.500 0.000
Tl: 0.500 0.000 0.500
Tl: 0.000 0.000 0.500
K: 0.000 0.500 0.000
K: 0.000 0.500 0.500
In: 0.500 0.500 0.500
In: 0.000 0.000 0.000

* energy: -63.0 eV for the cell shown
* formation energy from raw total energies: -1.930 eV/atom

=====

Record 13
Computed, not measured: an optimized crystal structure of KTlInF6 at the PBE level of DFT.

Cell: 6.170 6.170 10.523 Å, 90.00 90.00 120.00°
Positions (direct):
F: 0.036 0.650 0.359
F: 0.964 0.350 0.641
F: 0.964 0.614 0.859
F: 0.650 0.614 0.641
F: 0.614 0.650 0.141
F: 0.386 0.036 0.641
F: 0.650 0.036 0.859
F: 0.386 0.350 0.859
F: 0.614 0.964 0.359
F: 0.036 0.386 0.141
F: 0.350 0.386 0.359
F: 0.350 0.964 0.141
K: 0.000 0.000 0.000
K: 0.000 0.000 0.500
Tl: 0.667 0.333 0.250
Tl: 0.333 0.667 0.750
In: 0.667 0.333 0.750
In: 0.333 0.667 0.250

* energy: -76.8 eV for the cell shown
* formation energy from raw total energies: -2.329 eV/atom

=====

Record 14
Computed, not measured: an optimized crystal structure of KUIn2F8 at the PBE level of DFT.

Cell: 4.058 6.775 8.522 Å, 90.00 90.00 90.08°
Positions (direct):
F: 0.501 0.281 0.500
F: 0.499 0.719 0.500
F: 0.000 0.193 0.196
F: 0.000 0.193 0.804
F: 0.500 0.174 0.000
F: 0.000 0.807 0.804
F: 0.500 0.826 0.000
F: 0.000 0.807 0.196
In: 0.500 0.500 0.718
In: 0.500 0.500 0.282
K: 0.000 0.000 0.500
U: 0.000 0.000 0.000

* energy: -66.4 eV for the cell shown
* formation energy from raw total energies: -2.800 eV/atom